Density functional theory data (GGA-PBEsol) for an optimized crystal structure of Sc3Nb3B4Ru10.

Cell and atoms, written as extended XYZ:
```
20
Lattice="3.0337 0.0000 0.0000 0.0000 9.3686 0.0064 0.0000 0.0105 9.3686" Properties=species:S:1:pos:R:3 pbc="T T T"
Sc 0.0000 1.6497 1.6489
Sc 0.0000 3.0549 6.3210
Sc 0.0000 6.3223 3.0521
Nb 0.0000 4.6480 0.0112
Nb 0.0000 0.0133 4.6480
Nb 0.0000 7.7437 7.7402
B 0.0000 5.8234 5.8208
B 0.0000 3.5667 3.5651
B 0.0000 1.1439 8.2129
B 0.0000 8.2134 1.1402
Ru 1.5168 4.7090 4.7069
Ru 1.5168 9.3467 9.3426
Ru 1.5168 5.4335 7.3614
Ru 1.5168 4.0318 2.0518
Ru 1.5168 0.6105 6.7276
Ru 1.5168 8.6960 2.6351
Ru 1.5168 2.6389 8.6949
Ru 1.5168 6.7278 0.6075
Ru 1.5168 2.0536 4.0309
Ru 1.5168 7.3638 5.4302
```

Values from the calculation:
DFT total energy in eV for the cell shown: -192.754

---

Density functional theory data (GGA-PBEsol) for an optimized crystal structure of SrMo2Au.

Cell and atoms, written as extended XYZ:
```
4
Lattice="-0.0896 -2.5933 0.8665 0.4036 -0.1669 -4.7764 6.2885 0.0679 0.8540" Properties=species:S:1:pos:R:3 pbc="T T T"
Au 5.1572 -0.6978 -1.5550
Mo 0.4624 -2.7224 -3.7814
Mo 1.2681 -2.0063 -1.5550
Sr 3.1281 -1.2886 0.7858
```

Values from the calculation:
DFT total energy in eV for the cell shown: -26.839
Distance to the lowest polymorph of the same formula in kJ per mole of atoms: 0.0

---

Density functional theory data (GGA-PBEsol) for an optimized crystal structure of LiBe2Pt.

Cell and atoms, written as extended XYZ:
```
4
Lattice="3.3610 0.0000 0.0000 0.0000 3.3610 0.0000 -1.6805 -1.6805 3.7245" Properties=species:S:1:pos:R:3 pbc="T T T"
Be 0.0000 0.0000 0.0000
Be 1.6805 0.0000 1.8622
Pt 0.0000 1.6805 1.8622
Li 1.6805 1.6805 0.0000
```

Values from the calculation:
DFT total energy in eV for the cell shown: -18.349